A geometry-optimized LiCdNi3 structure, computed with PBE.

Results
- Symmetry: Pm-3m
- DFT total energy: -3.454 eV/atom
- DFT formation energy: 0.581 eV/atom
- Energy relative to the lowest polymorph listed for this composition: 0.0000 eV/atom
- Calculated volume: 65.97 Å³/cell
- Spin magnetization: 0.0 μB per cell

a b c (Å): 4.0407 4.0407 4.0407
angles (deg): 90.00 90.00 90.00
With the nearest neighbours (Å) after each atom.
Element x y z (fractional)
Li 0.0000 0.0000 0.0000  6 Ni 2.02
Cd 0.5000 0.5000 0.5000  12 Ni 2.86
Ni 0.0000 0.0000 0.5000  2 Li 2.02
Ni 0.0000 0.5000 0.0000  2 Li 2.02
Ni 0.5000 0.0000 0.0000  2 Li 2.02

=====

A geometry-optimized Y4Ga2N structure, computed with PBE.

Results
- Symmetry: I4/mmm
- Energy relative to the elements, uncorrected: -0.82 eV per atom
- DFT total energy: -6.564 eV/atom
- Energy relative to the lowest polymorph listed for this composition: 0.0000 eV/atom
- Calculated volume: 330.21 Å³/cell
- Spin magnetization: 0.0 μB per cell

a b c (Å): 4.6706 4.6706 15.1369
angles (deg): 90.00 90.00 90.00
With the nearest neighbours (Å) after each atom.
Element x y z (fractional)
Y 0.0000 0.0000 0.1700  1 N 2.57
Y 0.0000 0.0000 0.8300  1 N 2.57
Y 0.0000 0.5000 0.0000  2 N 2.34
Y 0.0000 0.5000 0.5000  2 N 2.34
Y 0.5000 0.0000 0.0000  2 N 2.34
Y 0.5000 0.0000 0.5000  2 N 2.34
Y 0.5000 0.5000 0.3300  1 N 2.57
Y 0.5000 0.5000 0.6700  1 N 2.57
Ga 0.0000 0.0000 0.3667  5 Y 2.98-3.09
Ga 0.0000 0.0000 0.6333  5 Y 2.98-3.09
Ga 0.5000 0.5000 0.1333  5 Y 2.98-3.09
Ga 0.5000 0.5000 0.8667  5 Y 2.98-3.09
N 0.0000 0.0000 0.0000  6 Y 2.34-2.57
N 0.5000 0.5000 0.5000  6 Y 2.34-2.57

=====

A geometry-optimized LiCeNd2Hg4 structure, computed with PBE.

Results
- Symmetry: R-3m
- DFT total energy: -2.718 eV/atom
- DFT formation energy: -0.394 eV/atom
- Calculated volume: 213.05 Å³/cell
- Spin magnetization: 1.3 μB per cell

a b c (Å): 9.3471 9.3471 9.3471
angles (deg): 32.79 32.79 32.79
With the nearest neighbours (Å) after each atom.
Element x y z (fractional)
Li 0.0000 0.0000 0.0000  8 Hg 3.23
Ce 0.5000 0.5000 0.5000  8 Hg 3.27-3.35
Nd 0.2553 0.2553 0.2553  7 Hg 3.14-3.26
Nd 0.7447 0.7447 0.7447  7 Hg 3.14-3.26
Hg 0.1219 0.1219 0.1219  1 Li 3.23, 4 Nd 3.26-3.54, 3 Ce 3.27
Hg 0.3737 0.3737 0.3737  4 Nd 3.14-3.21, 3 Li 3.23, 1 Ce 3.35
Hg 0.6263 0.6263 0.6263  4 Nd 3.14-3.21, 3 Li 3.23, 1 Ce 3.35
Hg 0.8781 0.8781 0.8781  1 Li 3.23, 4 Nd 3.26-3.54, 3 Ce 3.27

=====

A geometry-optimized AgSe3 structure, computed with PBE.

Results
- Symmetry: Pmmm
- Energy relative to the elements, uncorrected: 0.13 eV per atom
- DFT total energy: -3.192 eV/atom
- Calculated volume: 87.97 Å³/cell
- Spin magnetization: 0.0 μB per cell

a b c (Å): 2.8303 3.9727 7.8241
angles (deg): 90.00 90.00 90.00
With the nearest neighbours (Å) after each atom.
Element x y z (fractional)
Ag 0.0000 0.0000 0.0000  4 Se 2.70, 2 Ag 2.83
Se 0.0000 0.0000 0.5000  6 Se 2.83-2.88
Se 0.0000 0.5000 0.2341  2 Ag 2.70, 4 Se 2.83-2.88
Se 0.0000 0.5000 0.7659  2 Ag 2.70, 4 Se 2.83-2.88

=====

A geometry-optimized LiLa2H12Rh3 structure, computed with PBE.

Results
- Symmetry: R-3m
- DFT total energy: -4.482 eV/atom
- Calculated volume: 165.79 Å³/cell
- Spin magnetization: 1.0 μB per cell

a b c (Å): 5.9867 5.9867 5.9867
angles (deg): 64.22 64.22 64.22
With the nearest neighbours (Å) after each atom.
Element x y z (fractional)
Li 0.0000 0.0000 0.0000  6 H 1.89
La 0.3789 0.3789 0.3789  3 H 2.34
La 0.6211 0.6211 0.6211  3 H 2.34
H 0.1103 0.1103 0.6322  1 Rh 1.67
H 0.1103 0.6322 0.1103  1 Rh 1.67
H 0.1283 0.6826 0.6826  2 Rh 1.75
H 0.3174 0.3174 0.8717  2 Rh 1.75
H 0.3174 0.8717 0.3174  2 Rh 1.75
H 0.3678 0.8897 0.8897  1 Rh 1.67
H 0.6322 0.1103 0.1103  1 Rh 1.67
H 0.6826 0.1283 0.6826  2 Rh 1.75
H 0.6826 0.6826 0.1283  2 Rh 1.75
H 0.8717 0.3174 0.3174  2 Rh 1.75
H 0.8897 0.3678 0.8897  1 Rh 1.67
H 0.8897 0.8897 0.3678  1 Rh 1.67
Rh 0.0000 0.0000 0.5000  6 H 1.67-1.75
Rh 0.0000 0.5000 0.0000  6 H 1.67-1.75
Rh 0.5000 0.0000 0.0000  6 H 1.67-1.75

=====

A geometry-optimized SrPuIrN2 structure, computed with PBE.

Results
- Symmetry: P2/c
- Energy relative to the elements, uncorrected: -0.53 eV per atom
- DFT total energy: -8.833 eV/atom
- Calculated volume: 180.95 Å³/cell
- Spin magnetization: 6.6 μB per cell

a b c (Å): 5.8150 4.7916 6.5751
angles (deg): 90.00 98.99 90.00
With the nearest neighbours (Å) after each atom.
Element x y z (fractional)
Sr 0.0000 0.1520 0.2500  2 N 2.71
Sr 0.0000 0.8480 0.7500  2 N 2.71
Pu 0.5000 0.4743 0.7500  4 N 2.26-2.29
Pu 0.5000 0.5257 0.2500  4 N 2.26-2.29
Ir 0.5000 0.0000 0.0000  2 N 2.07
Ir 0.5000 0.0000 0.5000  2 N 2.07
N 0.2673 0.3306 0.9742  1 Ir 2.07, 2 Pu 2.26-2.29
N 0.2673 0.6694 0.4742  1 Ir 2.07, 2 Pu 2.26-2.29
N 0.7327 0.3306 0.5258  1 Ir 2.07, 2 Pu 2.26-2.29
N 0.7327 0.6694 0.0258  1 Ir 2.07, 2 Pu 2.26-2.29

=====

A geometry-optimized Tb2ThZr structure, computed with PBE.

Results
- Symmetry: R3m
- DFT total energy: -6.231 eV/atom
- DFT formation energy: 0.076 eV/atom
- Energy relative to the lowest polymorph listed for this composition: 0.0000 eV/atom
- Calculated volume: 353.07 Å³/cell
- Spin magnetization: 0.0 μB per cell

a b c (Å): 3.4907 3.4907 33.4581
angles (deg): 90.00 90.00 120.00
With the nearest neighbours (Å) after each atom.
Element x y z (fractional)
Tb 0.0000 0.0000 0.0000  3 Zr 3.34, 6 Tb 3.49, 3 Th 3.56
Tb 0.0000 0.0000 0.1591  3 Zr 3.33, 6 Tb 3.49, 3 Th 3.53
Tb 0.3333 0.6667 0.6667  3 Zr 3.34, 6 Tb 3.49, 3 Th 3.56
Tb 0.3333 0.6667 0.8258  3 Zr 3.33, 6 Tb 3.49, 3 Th 3.53
Tb 0.6667 0.3333 0.3333  3 Zr 3.34, 6 Tb 3.49, 3 Th 3.56
Tb 0.6667 0.3333 0.4924  3 Zr 3.33, 6 Tb 3.49, 3 Th 3.53
Th 0.0000 0.0000 0.5791  6 Th 3.49, 6 Tb 3.53-3.56
Th 0.3333 0.6667 0.2458  6 Th 3.49, 6 Tb 3.53-3.56
Th 0.6667 0.3333 0.9125  6 Th 3.49, 6 Tb 3.53-3.56
Zr 0.0000 0.0000 0.4130  6 Tb 3.33-3.34, 6 Zr 3.49
Zr 0.3333 0.6667 0.0797  6 Tb 3.33-3.34, 6 Zr 3.49
Zr 0.6667 0.3333 0.7464  6 Tb 3.33-3.34, 6 Zr 3.49

=====

A geometry-optimized NbZn2Cr2 structure, computed with PBE.

Results
- Symmetry: P4/mbm
- DFT total energy: -5.999 eV/atom
- DFT formation energy: 0.374 eV/atom
- Calculated volume: 141.86 Å³/cell
- Spin magnetization: 0.0 μB per cell

a b c (Å): 6.7593 6.7593 3.1049
angles (deg): 90.00 90.00 90.00
With the nearest neighbours (Å) after each atom.
Element x y z (fractional)
Nb 0.0000 0.0000 0.0000  4 Zn 2.68, 8 Cr 2.93
Nb 0.5000 0.5000 0.0000  4 Zn 2.68, 8 Cr 2.93
Zn 0.1231 0.3769 0.0000  1 Zn 2.35, 6 Cr 2.46-2.58
Zn 0.3769 0.8769 0.0000  1 Zn 2.35, 6 Cr 2.46-2.58
Zn 0.6231 0.1231 0.0000  1 Zn 2.35, 6 Cr 2.46-2.58
Zn 0.8769 0.6231 0.0000  1 Zn 2.35, 6 Cr 2.46-2.58
Cr 0.1775 0.6775 0.5000  6 Zn 2.46-2.58
Cr 0.3225 0.1775 0.5000  6 Zn 2.46-2.58
Cr 0.6775 0.8225 0.5000  6 Zn 2.46-2.58
Cr 0.8225 0.3225 0.5000  6 Zn 2.46-2.58

=====

A geometry-optimized Ir2RuW structure, computed with PBE.

Results
- Symmetry: C2/m
- DFT total energy: -10.079 eV/atom
- DFT formation energy: -0.092 eV/atom
- Energy relative to the lowest polymorph listed for this composition: 0.1747 eV/atom
- Calculated volume: 117.79 Å³/cell
- Spin magnetization: 0.0 μB per cell

a b c (Å): 9.1653 2.7481 4.7497
angles (deg): 90.00 100.05 90.00
With the nearest neighbours (Å) after each atom.
Element x y z (fractional)
Ir 0.2503 0.0000 0.2471  6 Ir 2.72-2.77, 3 Ru 2.75, 3 W 2.76-2.77
Ir 0.2497 0.5000 0.7529  6 Ir 2.72-2.77, 3 Ru 2.75, 3 W 2.76-2.77
Ir 0.7497 0.0000 0.7529  6 Ir 2.72-2.77, 3 Ru 2.75, 3 W 2.76-2.77
Ir 0.7503 0.5000 0.2471  6 Ir 2.72-2.77, 3 Ru 2.75, 3 W 2.76-2.77
Ru 0.0000 0.5000 0.0000  4 W 2.74, 6 Ir 2.75, 2 Ru 2.75
Ru 0.5000 0.0000 0.0000  4 W 2.74, 6 Ir 2.75, 2 Ru 2.75
W 0.0000 0.0000 0.5000  4 Ru 2.74, 2 W 2.75, 6 Ir 2.76-2.77
W 0.5000 0.5000 0.5000  4 Ru 2.74, 2 W 2.75, 6 Ir 2.76-2.77

=====

A geometry-optimized Y2HoCd2 structure, computed with PBE.

Results
- Symmetry: P2_1/m
- DFT total energy: -4.138 eV/atom
- DFT formation energy: -0.271 eV/atom
- Energy relative to the lowest polymorph listed for this composition: 0.0000 eV/atom
- Calculated volume: 273.50 Å³/cell
- Spin magnetization: 0.0 μB per cell

a b c (Å): 3.7358 5.3329 13.8557
angles (deg): 90.00 97.77 90.00
With the nearest neighbours (Å) after each atom.
Element x y z (fractional)
Y 0.0459 0.2500 0.0919  8 Cd 3.21-3.26
Y 0.2354 0.2500 0.4715  2 Cd 3.20, 4 Y 3.35
Y 0.7646 0.7500 0.5285  2 Cd 3.20, 4 Y 3.35
Y 0.9541 0.7500 0.9081  8 Cd 3.21-3.26
Ho 0.1486 0.7500 0.2967  6 Cd 3.25-3.26, 2 Y 3.59
Ho 0.8514 0.2500 0.7033  6 Cd 3.25-3.26, 2 Y 3.59
Cd 0.3589 0.7500 0.7177  4 Y 3.20-3.21, 4 Ho 3.26
Cd 0.4484 0.2500 0.8970  2 Ho 3.25, 6 Y 3.26, 2 Cd 3.63
Cd 0.5516 0.7500 0.1030  2 Ho 3.25, 6 Y 3.26, 2 Cd 3.63
Cd 0.6411 0.2500 0.2823  4 Y 3.20-3.21, 4 Ho 3.26

=====

A geometry-optimized Pt2PbCl structure, computed with PBE.

Results
- Symmetry: Cm
- Energy relative to the elements, uncorrected: -0.02 eV per atom
- DFT total energy: -4.424 eV/atom
- Energy relative to the lowest polymorph listed for this composition: 0.0722 eV/atom
- Calculated volume: 199.88 Å³/cell
- Spin magnetization: 0.0 μB per cell

a b c (Å): 7.3069 4.2854 6.4824
angles (deg): 90.00 100.03 90.00
With the nearest neighbours (Å) after each atom.
Element x y z (fractional)
Pt 0.0000 0.0000 0.0000  3 Pt 2.56-2.63, 3 Pb 2.79-2.85
Pt 0.1922 0.5000 0.1366  1 Cl 2.38, 3 Pt 2.56-2.63
Pt 0.5000 0.5000 0.0000  3 Pt 2.56-2.63, 3 Pb 2.79-2.85
Pt 0.6922 0.0000 0.1366  1 Cl 2.38, 3 Pt 2.56-2.63
Pb 0.3084 0.0000 0.7856  3 Pt 2.79-2.85, 1 Cl 3.10
Pb 0.8084 0.5000 0.7856  3 Pt 2.79-2.85, 1 Cl 3.10
Cl 0.0570 0.5000 0.4446  1 Pt 2.38
Cl 0.5570 0.0000 0.4446  1 Pt 2.38

=====

A geometry-optimized Tl2Re structure, computed with PBE.

Results
- Symmetry: Cm
- DFT total energy: -5.031 eV/atom
- DFT formation energy: 0.696 eV/atom
- Energy relative to the lowest polymorph listed for this composition: 0.1301 eV/atom
- Calculated volume: 310.29 Å³/cell
- Spin magnetization: 0.0 μB per cell

a b c (Å): 12.1618 3.2527 8.1760
angles (deg): 90.00 106.39 90.00
With the nearest neighbours (Å) after each atom.
Element x y z (fractional)
Tl 0.0000 0.0000 0.0000  6 Tl 3.25-3.63
Tl 0.0026 0.0000 0.5041  4 Re 3.00, 2 Tl 3.25
Tl 0.2048 0.5000 0.8172  3 Re 3.08-3.13, 6 Tl 3.25-3.42
Tl 0.2968 0.0000 0.1932  3 Re 3.07-3.17, 6 Tl 3.25-3.43
Tl 0.5000 0.5000 0.0000  6 Tl 3.25-3.63
Tl 0.5026 0.5000 0.5041  4 Re 3.00, 2 Tl 3.25
Tl 0.7048 0.0000 0.8172  3 Re 3.08-3.13, 6 Tl 3.25-3.42
Tl 0.7968 0.5000 0.1932  3 Re 3.07-3.17, 6 Tl 3.25-3.43
Re 0.1902 0.5000 0.4288  2 Re 2.38
Re 0.3186 0.0000 0.5891  2 Re 2.38
Re 0.6902 0.0000 0.4288  2 Re 2.38
Re 0.8186 0.5000 0.5891  2 Re 2.38